Record 1
Here is a relaxed K4Al crystal from Alexandria via LeMat-Bulk. Energies are from PBE.

The structure in extended XYZ format:
```
5
Lattice="-2.6094 2.6094 10.9715 2.6094 -2.6094 10.9715 2.6094 2.6094 -10.9715" Properties=species:S:1:pos:R:3 pbc="T T T"
K 0.0000 0.0000 1.7863
K 2.6094 0.0000 5.4858
K 0.0000 2.6094 5.4858
K 0.0000 0.0000 20.1568
Al 0.0000 0.0000 10.9715
```

As for the symmetry: I4/mmm. For the density of states at the Fermi level, the calculation gives 0.86 states/eV per atom. For the volume, the calculation gives 59.8 Å³/atom. The total energy comes out at -5.94 eV/cell. The value obtained for the spin magnetization is 0.0 μB per formula unit. The formation energy is 0.44 eV/atom. The relative energy among the computed polymorphs comes out at 0.95 eV per formula unit.



Record 2
Here is a relaxed KAl2 crystal from Alexandria via LeMat-Bulk. Energies are from PBE.

The structure in extended XYZ format:
```
12
Lattice="6.3981 0.0000 0.0000 0.0000 4.2482 0.0000 0.0000 0.0000 13.9324" Properties=species:S:1:pos:R:3 pbc="T T T"
K 0.6323 1.0621 2.0848
K 2.5667 3.1862 9.0510
K 3.8313 1.0621 4.8815
K 5.7658 3.1862 11.8477
Al 0.6515 3.1862 4.9439
Al 0.6922 1.0621 6.5959
Al 2.5068 3.1862 13.5622
Al 2.5476 1.0621 11.9102
Al 3.8505 3.1862 2.0223
Al 3.8913 1.0621 0.3703
Al 5.7058 3.1862 7.3365
Al 5.7466 1.0621 8.9885
```

As for the symmetry: Pnma. For the density of states at the Fermi level, the calculation gives 0.57 states/eV per atom. For the volume, the calculation gives 31.6 Å³/atom. The total energy comes out at -31.53 eV/cell. The value obtained for the spin magnetization is 0.0 μB per formula unit. The formation energy is 0.23 eV/atom. The relative energy among the computed polymorphs comes out at 0.19 eV per formula unit.



Record 3
Here is a relaxed KAl2 crystal from Alexandria via LeMat-Bulk. Energies are from PBE.

The structure in extended XYZ format:
```
6
Lattice="2.8853 0.0000 0.0000 0.0000 9.0191 0.0000 0.0000 0.0000 6.5232" Properties=species:S:1:pos:R:3 pbc="T T T"
K 0.0000 0.0000 0.0000
K 1.4426 4.5095 3.2616
Al 0.7084 3.3544 0.0000
Al 0.7342 7.8639 3.2616
Al 2.1510 1.1551 3.2616
Al 2.1768 5.6647 0.0000
```

As for the symmetry: Pnnm. For the density of states at the Fermi level, the calculation gives 0.57 states/eV per atom. For the volume, the calculation gives 28.3 Å³/atom. The total energy comes out at -14.39 eV/cell. The value obtained for the spin magnetization is 0.0 μB per formula unit. The formation energy is 0.46 eV/atom. The relative energy among the computed polymorphs comes out at 0.88 eV per formula unit.



Record 4
Here is a relaxed K2Al3 crystal from Alexandria via LeMat-Bulk. Energies are from PBE.

The structure in extended XYZ format:
```
5
Lattice="4.2296 0.0000 0.0000 -2.1148 3.6630 0.0000 0.0000 0.0000 11.9979" Properties=species:S:1:pos:R:3 pbc="T T T"
K 0.0000 2.4420 3.2221
K 2.1148 1.2210 8.7757
Al 0.0000 0.0000 5.9989
Al 0.0000 2.4420 11.5997
Al 2.1148 1.2210 0.3982
```

As for the symmetry: P-3m1. For the density of states at the Fermi level, the calculation gives 0.77 states/eV per atom. For the volume, the calculation gives 37.2 Å³/atom. The total energy comes out at -10.86 eV/cell. The value obtained for the spin magnetization is 0.0 μB per formula unit. The formation energy is 0.51 eV/atom.